A plane-wave DFT calculation with GGA-PBE was carried out for a geometry-optimized TbLuN structure.

abc: 4.5911 4.5911 7.6101
angles: 90.00 90.00 90.00
Space group I4mm (No. 107)
One atom of each set of equivalent atoms:
Tb 0.0000 0.0000 0.0000 x2
Lu 0.0000 0.0000 0.5360 x2
N 0.0000 0.0000 0.2721 x2

Calculated values
DFT total energy   -5.638 eV per atom
Energy above the lowest structure with this stoichiometry   1252.2 meV/atom
Crystal system   tetragonal
Total moment   0.0 Bohr magnetons per cell
Calculated volume   26.73 Å³/atom
Fermi-level density of states   2.4 states/eV/f.u.